Record 1
SmDy2ScSe6: optimized geometry, GGA-PBE.

Unit cell a=7.1479 b=7.1479 c=19.2934 alpha=90.00 beta=90.00 gamma=120.00
Closest atoms and distances in Å follow each position.
Space group R3 (No. 146, hexagonal axes)
Inequivalent atoms, fractional coordinates:
Sm 0.0000 0.0000 0.0000  6 Se 2.88-2.98
Dy 0.0000 0.0000 0.2997  6 Se 2.86-2.90
Dy 0.0000 0.0000 0.8038  6 Se 2.83-2.91
Sc 0.0000 0.0000 0.4946  6 Se 2.73-2.76
Se 0.0039 0.7059 0.4026  1 Sc 2.76, 2 Dy 2.83-2.90, 1 Sm 2.88
Se 0.0275 0.3430 0.5659  1 Sc 2.73, 2 Dy 2.86-2.91, 1 Sm 2.98

Results
VASP energy = -177.25 eV/cell
M_tot = 0.00 μB per cell
E_form (uncorrected) = -1.792 eV per atom
Fermi-level density of states = 0.00 states/eV/f.u.

Record 2
ReTc2W: optimized geometry, GGA-PBE.

Unit cell a=4.4316 b=4.4316 c=3.0861 alpha=90.00 beta=90.00 gamma=90.00
Closest atoms and distances in Å follow each position.
Space group P4/mmm (No. 123)
Inequivalent atoms, fractional coordinates:
Re 0.0000 0.0000 0.0000  8 Tc 2.70
Tc 0.0000 0.5000 0.5000  4 W 2.70, 4 Re 2.70
W 0.5000 0.5000 0.0000  8 Tc 2.70

Results
Energy above the lowest structure with this stoichiometry = 0.068 eV per atom
VASP energy = -45.40 eV/cell
M_tot = 0.00 μB per cell
E_form = 0.18 eV/atom
Fermi-level density of states = 4.10 states/eV/f.u.

Record 3
ZrAgGe2: optimized geometry, GGA-PBE.

Unit cell a=4.2536 b=4.2536 c=18.2460 alpha=90.00 beta=90.00 gamma=90.00
Closest atoms and distances in Å follow each position.
Space group I-42d (No. 122)
Inequivalent atoms, fractional coordinates:
Zr 0.0000 0.0000 0.0000  4 Ge 2.76, 4 Ag 3.01
Ag 0.0000 0.0000 0.5000  4 Ge 2.71, 4 Zr 3.01
Ge 0.2347 0.2500 0.6250  2 Ag 2.71, 2 Zr 2.76, 2 Ge 2.92

Results
Energy above the lowest structure with this stoichiometry = 0.326 eV per atom
VASP energy = -81.67 eV/cell
M_tot = 0.00 μB per cell
E_form = 0.05 eV/atom
Fermi-level density of states = 2.90 states/eV/f.u.

Record 4
Sm2Ho3Er6In: optimized geometry, GGA-PBE.

Unit cell a=6.0459 b=10.4777 c=11.6241 alpha=90.00 beta=100.00 gamma=90.00
Closest atoms and distances in Å follow each position.
Space group C2/m (No. 12)
Inequivalent atoms, fractional coordinates:
Sm 0.0000 0.1662 0.0000  3 Sm 3.48-3.50, 3 In 3.49-3.50, 6 Er 3.50-3.51
Ho 0.0000 0.0000 0.5000  6 Ho 3.49, 6 Er 3.50-3.52
Ho 0.0000 0.3334 0.5000  6 Er 3.49-3.53, 6 Ho 3.49
Er 0.2445 0.5000 0.7498  6 Er 3.44-3.52, 1 In 3.48, 3 Ho 3.49-3.52, 2 Sm 3.51
Er 0.2473 0.3359 0.2493  6 Er 3.44-3.52, 1 In 3.48, 3 Ho 3.50-3.53, 2 Sm 3.50-3.51
In 0.0000 0.5000 0.0000  6 Er 3.48, 6 Sm 3.49-3.50

Results
VASP energy = -107.79 eV/cell
M_tot = 0.01 μB per cell
E_form = -0.05 eV/atom
Fermi-level density of states = 15.72 states/eV/f.u.

Record 5
CaMoPd: optimized geometry, GGA-PBE.

Unit cell a=4.5630 b=11.0779 c=5.0453 alpha=90.00 beta=90.00 gamma=90.00
Closest atoms and distances in Å follow each position.
Space group Cmcm (No. 63)
Inequivalent atoms, fractional coordinates:
Ca 0.0000 0.2111 0.2500  3 Pd 2.97-3.11
Mo 0.0000 0.5000 0.0000  2 Mo 2.52, 4 Pd 2.72
Pd 0.0000 0.0692 0.7500  4 Mo 2.72, 2 Pd 2.95, 2 Ca 2.97

Results
Energy above the lowest structure with this stoichiometry = 0.100 eV per atom
VASP energy = -72.10 eV/cell
M_tot = 0.00 μB per cell
E_form = 0.00 eV/atom
Fermi-level density of states = 2.30 states/eV/f.u.

Record 6
Li2TcSb: optimized geometry, GGA-PBE.

Unit cell a=3.2575 b=4.3285 c=4.6252 alpha=90.00 beta=90.00 gamma=90.00
Closest atoms and distances in Å follow each position.
Space group Pmmm (No. 47)
Inequivalent atoms, fractional coordinates:
Li 0.0000 0.0000 0.0000  4 Li 2.71, 4 Sb 2.83
Li 0.5000 0.5000 0.0000  4 Li 2.71, 4 Tc 2.83
Tc 0.0000 0.5000 0.5000  4 Sb 2.71, 4 Li 2.83
Sb 0.5000 0.0000 0.5000  4 Tc 2.71, 4 Li 2.83

Results
VASP energy = -18.34 eV/cell
M_tot = 0.55 μB per cell
E_form (uncorrected) = -0.005 eV per atom
Fermi-level density of states = 2.09 states/eV/f.u.

Record 7
AcOsPb2O8: optimized geometry, GGA-PBE.

Unit cell a=5.2812 b=7.0454 c=5.3215 alpha=90.00 beta=92.12 gamma=90.00
Closest atoms and distances in Å follow each position.
Space group P2/m (No. 10)
Inequivalent atoms, fractional coordinates:
Ac 0.0000 0.0000 0.0000  6 O 2.45-2.50
Os 0.0000 0.5000 0.0000  6 O 1.84-1.93
Pb 0.5000 0.2541 0.5000  4 O 2.25-2.39
O 0.1628 0.3010 0.1948  1 Os 1.93
O 0.2634 0.5000 0.7830  1 Os 1.84
O 0.3347 0.0000 0.6920  2 Pb 2.25, 1 Ac 2.45

Results
VASP energy = -79.49 eV/cell
M_tot = 0.00 μB per cell
E_form (uncorrected) = -1.423 eV per atom
Fermi-level density of states = 3.54 states/eV/f.u.

Record 8
PrSm6Sc2: optimized geometry, GGA-PBE.

Unit cell a=10.5874 b=10.1162 c=11.9332 alpha=90.00 beta=115.22 gamma=90.00
Closest atoms and distances in Å follow each position.
Space group C2/c (No. 15)
Inequivalent atoms, fractional coordinates:
Pr 0.0000 0.2038 0.2500  2 Sc 3.22, 2 Sm 3.35
Sm 0.0126 0.1123 0.8958  4 Sm 3.24-3.51, 3 Sc 3.30-3.51, 1 Pr 3.62
Sm 0.1630 0.3579 0.5677  2 Sc 3.20-3.54, 3 Sm 3.24-3.49, 1 Pr 3.35
Sm 0.1677 0.4539 0.8501  3 Sc 3.22-3.50, 4 Sm 3.24-3.51
Sc 0.1965 0.3337 0.1349  8 Sm 3.20-3.54, 1 Pr 3.22

Results
VASP energy = -176.36 eV/cell
M_tot = 0.00 μB per cell
E_form = 0.19 eV/atom
Fermi-level density of states = 13.72 states/eV/f.u.

Record 9
BiPdPb: optimized geometry, GGA-PBE.

Unit cell a=6.8556 b=3.4762 c=13.0108 alpha=90.00 beta=90.00 gamma=90.00
Closest atoms and distances in Å follow each position.
Space group Pnma (No. 62)
Inequivalent atoms, fractional coordinates:
Bi 0.2183 0.2500 0.0436  3 Pd 2.83-2.86
Pd 0.1621 0.7500 0.8718  3 Bi 2.83-2.86, 4 Pb 2.95-2.98
Pb 0.0291 0.7500 0.2812  4 Pd 2.95-2.98

Results
Energy above the lowest structure with this stoichiometry = 0.062 eV per atom
VASP energy = -52.98 eV/cell
M_tot = 0.00 μB per cell
E_form = -0.15 eV/atom
Fermi-level density of states = 1.20 states/eV/f.u.

Record 10
PmDyOsRh: optimized geometry, GGA-PBE.

Unit cell a=6.9246 b=6.9246 c=6.9246 alpha=90.00 beta=90.00 gamma=90.00
Closest atoms and distances in Å follow each position.
Space group F-43m (No. 216)
Inequivalent atoms, fractional coordinates:
Pm 0.0000 0.0000 0.0000  4 Os 3.00, 4 Rh 3.00
Dy 0.0000 0.0000 0.5000  4 Os 3.00, 4 Rh 3.00
Os 0.2500 0.2500 0.7500  4 Dy 3.00, 4 Pm 3.00
Rh 0.2500 0.2500 0.2500  4 Dy 3.00, 4 Pm 3.00

Results
VASP energy = -117.41 eV/cell
M_tot = 0.00 μB per cell
E_form = -0.35 eV/atom
Fermi-level density of states = 3.67 states/eV/f.u.

Record 11
LaFeW2: optimized geometry, GGA-PBE.

Unit cell a=3.8449 b=3.8449 c=10.1480 alpha=90.00 beta=90.00 gamma=90.00
Closest atoms and distances in Å follow each position.
Space group I4/mmm (No. 139)
Inequivalent atoms, fractional coordinates:
La 0.0000 0.0000 0.0000  4 Fe 2.72
Fe 0.0000 0.0000 0.5000  4 La 2.72
W 0.0000 0.5000 0.2500  4 W 2.72

Results
Energy above the lowest structure with this stoichiometry = 0.410 eV per atom
VASP energy = -71.31 eV/cell
M_tot = 2.54 μB per cell
E_form = 0.91 eV/atom
Fermi-level density of states = 4.50 states/eV/f.u.

Record 12
Y2Co3: optimized geometry, GGA-PBE.

Unit cell a=3.8611 b=3.8611 c=21.7345 alpha=90.00 beta=90.00 gamma=120.00
Closest atoms and distances in Å follow each position.
Space group R-3m (No. 166, hexagonal axes)
Inequivalent atoms, fractional coordinates:
Y 0.0000 0.0000 0.0922  9 Co 2.75-3.03
Co 0.0000 0.0000 0.3354  3 Co 2.23
Co 0.0000 0.0000 0.5000  6 Y 2.75

Results
VASP energy = -102.89 eV/cell
M_tot = 4.84 μB per cell
E_form = -0.01 eV/atom
Fermi-level density of states = 5.99 states/eV/f.u.

Record 13
Ba8Se3S3N: optimized geometry, GGA-PBE.

Unit cell a=9.1520 b=9.1520 c=22.7011 alpha=90.00 beta=90.00 gamma=120.00
Closest atoms and distances in Å follow each position.
Space group R-3m (No. 166, hexagonal axes)
Inequivalent atoms, fractional coordinates:
Ba 0.0000 0.0000 0.2471  3 S 3.21, 3 Se 3.29
Ba 0.0304 0.5152 0.2397  1 N 2.92, 2 S 3.23
Se 0.0000 0.5000 0.0000  6 Ba 3.29-3.31
S 0.0000 0.5000 0.5000  6 Ba 3.21-3.23
N 0.0000 0.0000 0.5000  6 Ba 2.92

Results
VASP energy = -215.68 eV/cell
M_tot = 2.54 μB per cell
E_form (uncorrected) = -1.690 eV per atom
Fermi-level density of states = 4.06 states/eV/f.u.

Record 14
Ta3Nb4Au: optimized geometry, GGA-PBE.

Unit cell a=2.7662 b=9.8290 c=10.9889 alpha=90.00 beta=90.00 gamma=90.00
Closest atoms and distances in Å follow each position.
Space group Immm (No. 71)
Inequivalent atoms, fractional coordinates:
Ta 0.0000 0.0000 0.0000  2 Ta 2.77, 8 Nb 3.08
Ta 0.0000 0.5000 0.2402  2 Ta 2.77, 2 Nb 2.80, 2 Au 2.98
Nb 0.0000 0.2580 0.3739  5 Nb 2.77-3.06, 3 Ta 2.80-3.08, 1 Au 2.89
Au 0.0000 0.0000 0.5000  2 Au 2.77, 4 Nb 2.89, 4 Ta 2.98

Results
Energy above the lowest structure with this stoichiometry = 0.235 eV per atom
VASP energy = -154.97 eV/cell
M_tot = 0.00 μB per cell
E_form = 0.20 eV/atom
Fermi-level density of states = 8.39 states/eV/f.u.

Record 15
CsCu2AgF8: optimized geometry, GGA-PBE.

Unit cell a=5.6707 b=5.6707 c=23.2082 alpha=90.00 beta=90.00 gamma=120.00
Closest atoms and distances in Å follow each position.
Space group R-3 (No. 148, hexagonal axes)
Inequivalent atoms, fractional coordinates:
Cs 0.0000 0.0000 0.0000  12 F 3.30-3.31
Cu 0.0000 0.0000 0.2351  4 F 1.83-1.89
Ag 0.0000 0.0000 0.5000  6 F 2.21
F 0.0000 0.0000 0.3139  1 Cu 1.83
F 0.0004 0.3472 0.1147  1 Cu 1.89

Results
VASP energy = -134.95 eV/cell
M_tot = 12.29 μB per cell
E_form (uncorrected) = -1.510 eV per atom
Fermi-level density of states = 10.90 states/eV/f.u.

Record 16
LaCdAs2Br: optimized geometry, GGA-PBE.

Unit cell a=5.8277 b=5.8277 c=5.7600 alpha=90.00 beta=90.00 gamma=90.00
Closest atoms and distances in Å follow each position.
Space group P4/mmm (No. 123)
Inequivalent atoms, fractional coordinates:
La 0.0000 0.0000 0.0000  2 Br 2.88, 4 As 2.91
Cd 0.5000 0.5000 0.5000  8 As 4.10, 4 Br 4.12
As 0.0000 0.5000 0.0000  2 La 2.91
Br 0.0000 0.0000 0.5000  2 La 2.88

Results
Energy above the lowest structure with this stoichiometry = 0.257 eV per atom
VASP energy = -16.81 eV/cell
M_tot = 0.99 μB per cell
E_form (uncorrected) = 0.001 eV per atom
Fermi-level density of states = 4.70 states/eV/f.u.

Record 17
In2CoTc: optimized geometry, GGA-PBE.

Unit cell a=4.4570 b=4.4570 c=3.3291 alpha=90.00 beta=90.00 gamma=90.00
Closest atoms and distances in Å follow each position.
Space group P4/mmm (No. 123)
Inequivalent atoms, fractional coordinates:
In 0.0000 0.5000 0.0000  4 Co 2.78, 4 Tc 2.78
Co 0.0000 0.0000 0.5000  8 In 2.78
Tc 0.5000 0.5000 0.5000  8 In 2.78

Results
Energy above the lowest structure with this stoichiometry = 0.047 eV per atom
VASP energy = -21.85 eV/cell
M_tot = 1.02 μB per cell
E_form = 0.27 eV/atom
Fermi-level density of states = 5.90 states/eV/f.u.